[1]
## YMnNb2C4 (PBE)

Data for an optimized crystal structure of YMnNb2C4.

Lattice parameters (Å, degrees): 5.7752 5.7752 10.9087 90.00 90.00 147.60
Positions (direct):
1 Y 0.0998 0.9002 0.7500
2 Y 0.9002 0.0998 0.2500
3 Mn 0.1650 0.8350 0.2500
4 Mn 0.8350 0.1650 0.7500
5 Nb 0.3698 0.6302 0.5412
6 Nb 0.3698 0.6302 0.9588
7 Nb 0.6302 0.3698 0.0412
8 Nb 0.6302 0.3698 0.4588
9 C 0.0000 0.0000 0.0000
10 C 0.0000 0.0000 0.5000
11 C 0.2650 0.7350 0.1188
12 C 0.2650 0.7350 0.3812
13 C 0.4242 0.5758 0.7500
14 C 0.5758 0.4242 0.2500
15 C 0.7350 0.2650 0.6188
16 C 0.7350 0.2650 0.8812

Values from the calculation:
- Energy of formation: -0.300 eV/atom
- Total energy: -150.13 eV per cell
- Total moment: 0.00 μB per formula unit

[2]
## La3Nd4Sm2 (PBE)

Data for an optimized crystal structure of La3Nd4Sm2.

Lattice parameters (Å, degrees): 6.6418 6.6418 9.3700 101.34 101.34 52.83
Positions (direct):
1 La 0.0000 0.0000 0.0000
2 La 0.1166 0.1166 0.6851
3 La 0.8834 0.8834 0.3149
4 Nd 0.2297 0.2297 0.3725
5 Nd 0.3202 0.3202 0.0419
6 Nd 0.6798 0.6798 0.9581
7 Nd 0.7703 0.7703 0.6275
8 Sm 0.4354 0.4354 0.6996
9 Sm 0.5646 0.5646 0.3004

Values from the calculation:
- Energy of formation: 0.084 eV/atom
- Excess energy over the best structure of this formula in the dataset: 0.019 eV/atom
- Total energy: -42.54 eV per cell
- Total moment: 0.00 μB per formula unit

[3]
## NaPmTl3 (PBE)

Data for an optimized crystal structure of NaPmTl3.

Lattice parameters (Å, degrees): 9.2438 9.2438 6.6859 102.02 102.02 31.36
Positions (direct):
1 Na 0.1925 0.1925 0.0702
2 Na 0.8075 0.8075 0.9298
3 Pm 0.3993 0.3993 0.3724
4 Pm 0.6007 0.6007 0.6276
5 Tl 0.0069 0.0069 0.2637
6 Tl 0.2155 0.2155 0.5882
7 Tl 0.4063 0.4063 0.8785
8 Tl 0.5937 0.5937 0.1215
9 Tl 0.7845 0.7845 0.4118
10 Tl 0.9931 0.9931 0.7363

Values from the calculation:
- Energy of formation: -0.164 eV/atom
- Total energy: -27.98 eV per cell
- Total moment: 0.00 μB per formula unit

[4]
## RbYBi2H (PBE)

Data for an optimized crystal structure of RbYBi2H.

Lattice parameters (Å, degrees): 6.2244 6.2244 5.8475 90.00 90.00 90.00
Positions (direct):
1 Rb 0.0000 0.0000 0.0000
2 Y 0.0000 0.0000 0.5000
3 Bi 0.0000 0.5000 0.0000
4 Bi 0.5000 0.0000 0.0000
5 H 0.5000 0.5000 0.5000

Values from the calculation:
- Total energy: -10.49 eV per cell
- Total moment: 1.29 μB per formula unit

[5]
## LiBePdF2 (PBE)

Data for an optimized crystal structure of LiBePdF2.

Lattice parameters (Å, degrees): 3.3520 3.3520 5.7356 90.00 90.00 90.00
Positions (direct):
1 Li 0.0000 0.0000 0.0000
2 Be 0.5000 0.5000 0.5000
3 Pd 0.5000 0.5000 0.0000
4 F 0.0000 0.5000 0.5000
5 F 0.5000 0.0000 0.5000

Values from the calculation:
- Formation energy from raw total energies: -1.430 eV/atom
- Total energy: -21.73 eV per cell
- Total moment: 0.00 μB per formula unit

[6]
## TaBeIn2 (PBE)

Data for an optimized crystal structure of TaBeIn2.

Lattice parameters (Å, degrees): 3.1426 4.0424 5.8286 90.00 90.00 90.00
Positions (direct):
1 Ta 0.0000 0.0000 0.0000
2 Be 0.0000 0.0000 0.5000
3 In 0.5000 0.5000 0.2593
4 In 0.5000 0.5000 0.7407

Values from the calculation:
- Energy of formation: 0.464 eV/atom
- Total energy: -19.20 eV per cell
- Total moment: 0.00 μB per formula unit

[7]
## AgAu2S2 (PBE)

Data for an optimized crystal structure of AgAu2S2.

Lattice parameters (Å, degrees): 7.0952 4.5799 7.0149 90.00 92.03 90.00
Positions (direct):
1 Ag 0.0000 0.2070 0.0000
2 Ag 0.0000 0.7930 0.5000
3 Au 0.4176 0.4963 0.0970
4 Au 0.4176 0.5037 0.5970
5 Au 0.6523 0.1121 0.3556
6 Au 0.6523 0.8879 0.8556
7 S 0.3765 0.1715 0.8435
8 S 0.3765 0.8285 0.3435
9 S 0.9579 0.2912 0.3534
10 S 0.9579 0.7088 0.8534

Values from the calculation:
- Formation energy from raw total energies: 0.036 eV/atom
- Excess energy over the best structure of this formula in the dataset: 0.000 eV/atom
- Total energy: -34.96 eV per cell
- Total moment: 0.00 μB per formula unit

[8]
## LiB3Mo (PBE)

Data for an optimized crystal structure of LiB3Mo.

Lattice parameters (Å, degrees): 3.5435 3.5435 3.5435 90.00 90.00 90.00
Positions (direct):
1 Li 0.0000 0.0000 0.0000
2 B 0.0000 0.0000 0.5000
3 B 0.0000 0.5000 0.0000
4 B 0.5000 0.0000 0.0000
5 Mo 0.5000 0.5000 0.5000

Values from the calculation:
- Energy of formation: 1.558 eV/atom
- Excess energy over the best structure of this formula in the dataset: 0.616 eV/atom
- Total energy: -24.98 eV per cell
- Total moment: 0.00 μB per formula unit

> What is the formula in the second record?

La3Nd4Sm2

> What is the total moment in the seventh record?

0.00 μB per formula unit

> Which value of total energy does entry 7 give?

-34.96 eV per cell

Please write out number 2 again, unchanged.
## La3Nd4Sm2 (PBE)

Data for an optimized crystal structure of La3Nd4Sm2.

Lattice parameters (Å, degrees): 6.6418 6.6418 9.3700 101.34 101.34 52.83
Positions (direct):
1 La 0.0000 0.0000 0.0000
2 La 0.1166 0.1166 0.6851
3 La 0.8834 0.8834 0.3149
4 Nd 0.2297 0.2297 0.3725
5 Nd 0.3202 0.3202 0.0419
6 Nd 0.6798 0.6798 0.9581
7 Nd 0.7703 0.7703 0.6275
8 Sm 0.4354 0.4354 0.6996
9 Sm 0.5646 0.5646 0.3004

Values from the calculation:
- Energy of formation: 0.084 eV/atom
- Excess energy over the best structure of this formula in the dataset: 0.019 eV/atom
- Total energy: -42.54 eV per cell
- Total moment: 0.00 μB per formula unit